# 1
First-principles (GGA-PBE) data for a relaxed structure of Ac6Ge2P3Se, as listed in the Alexandria database.

## Properties
- DFT total energy: -137.71 eV/cell
- Raw formation energy: -1.27 eV per atom
- N(E_F): 7.49 states/eV/f.u.

Cell lengths 19.716, 4.438, 9.127 Å; angles 90.00, 103.69, 90.00 degrees
Space group C2/m (No. 12)
Symmetry-distinct sites (fractional):
Ac  0.001  0.000  0.240 (multiplicity 4)
Ac  0.165  0.500  0.090 (multiplicity 4)
Ac  0.169  0.500  0.578 (multiplicity 4)
Ge  0.166  0.000  0.831 (multiplicity 4)
P  0.000  0.500  0.000 (multiplicity 2)
P  0.164  0.000  0.335 (multiplicity 4)
Se  0.000  0.500  0.500 (multiplicity 2)


# 2
First-principles (GGA-PBE) data for a relaxed structure of Ac8GeTe3P3, as listed in the Alexandria database.

## Properties
- DFT total energy: -249.16 eV/cell
- Raw formation energy: -1.33 eV per atom
- N(E_F): 10.22 states/eV/f.u.

Cell lengths 9.0544, 9.0544, 22.9674 Å; angles 90.00, 90.00, 120.00 degrees
Space group R-3m (No. 166, hexagonal axes)
Symmetry-distinct sites (fractional):
Ac  0.0000  0.0000  0.2392 (multiplicity 6)
Ac  0.0068  0.5034  0.7592 (multiplicity 18)
Ge  0.0000  0.0000  0.5000 (multiplicity 3)
Te  0.0000  0.5000  0.0000 (multiplicity 9)
P  0.0000  0.5000  0.5000 (multiplicity 9)


# 3
First-principles (GGA-PBE) data for a relaxed structure of Ac6Ge3TeP2, as listed in the Alexandria database.

## Properties
- DFT total energy: -129.74 eV/cell
- Raw formation energy: -1.03 eV per atom
- N(E_F): 10.75 states/eV/f.u.

Cell lengths 20.107, 4.494, 9.339 Å; angles 90.00, 104.90, 90.00 degrees
Space group C2/m (No. 12)
Symmetry-distinct sites (fractional):
Ac  0.004  0.000  0.267 (multiplicity 4)
Ac  0.169  0.500  0.574 (multiplicity 4)
Ac  0.172  0.500  0.097 (multiplicity 4)
Ge  0.000  0.500  0.500 (multiplicity 2)
Ge  0.163  0.000  0.832 (multiplicity 4)
Te  0.000  0.500  0.000 (multiplicity 2)
P  0.167  0.000  0.333 (multiplicity 4)